# 1
First-principles (PBE) data for Th3In after structural relaxation, as listed in Alexandria.

ρ   11.0 g cm⁻³
VASP energy   -50.9 eV/cell
Energy relative to the elements   -114 meV per atom

Cell lengths 3.5434, 11.3965, 6.0491 Å; angles 90.00, 90.00, 90.00 degrees
Space group Imm2 (No. 44)
Inequivalent atoms, fractional coordinates:
Th  0.0000  0.0000  0.0000 (multiplicity 2)
Th  0.0000  0.2351  0.6657 (multiplicity 4)
In  0.0000  0.5000  0.9776 (multiplicity 2)

# 2
First-principles (PBE) data for Tm2TlHg after structural relaxation, as listed in Alexandria.

ρ   11.1 g cm⁻³
VASP energy   -25.3 eV/cell
Energy relative to the elements   -261 meV per atom

Cell lengths 6.3980, 3.6908, 9.6150 Å; angles 90.00, 102.95, 90.00 degrees
Space group Cm (No. 8)
Inequivalent atoms, fractional coordinates:
Tm  0.0000  0.0000  0.0000 (multiplicity 2)
Tm  0.1734  0.0000  0.5207 (multiplicity 2)
Tl  0.4203  0.0000  0.2610 (multiplicity 2)
Hg  0.0868  0.5000  0.7614 (multiplicity 2)

# 3
First-principles (PBE) data for AcPmDyAl after structural relaxation, as listed in Alexandria.

ρ   7.7 g cm⁻³
VASP energy   -67.8 eV/cell
Energy relative to the elements   65 meV per atom

Cell lengths 7.8566, 7.8566, 7.8566 Å; angles 90.00, 90.00, 90.00 degrees
Space group F-43m (No. 216)
Inequivalent atoms, fractional coordinates:
Ac  0.0000  0.0000  0.0000 (multiplicity 4)
Pm  0.2500  0.2500  0.7500 (multiplicity 4)
Dy  0.2500  0.2500  0.2500 (multiplicity 4)
Al  0.0000  0.0000  0.5000 (multiplicity 4)

# 4
First-principles (PBE) data for NdRhI after structural relaxation, as listed in Alexandria.

ρ   6.4 g cm⁻³
VASP energy   -63.2 eV/cell
E_form (uncorrected)   -712 meV per atom

Cell lengths 7.3118, 4.0930, 13.1761 Å; angles 90.00, 100.04, 90.00 degrees
Space group C2/m (No. 12)
Inequivalent atoms, fractional coordinates:
Nd  0.1193  0.0000  0.3173 (multiplicity 4)
Rh  0.1725  0.0000  0.5349 (multiplicity 4)
I  0.1063  0.5000  0.8503 (multiplicity 4)

# 5
First-principles (PBE) data for Ba2Ga6NiIr after structural relaxation, as listed in Alexandria.

ρ   7.0 g cm⁻³
VASP energy   -82.4 eV/cell
Energy relative to the elements   -456 meV per atom

Cell lengths 11.5598, 6.6897, 6.9240 Å; angles 90.00, 123.72, 90.00 degrees
Space group C2/m (No. 12)
Inequivalent atoms, fractional coordinates:
Ba  0.2150  0.0000  0.1469 (multiplicity 4)
Ga  0.0367  0.2929  0.3174 (multiplicity 8)
Ga  0.2439  0.5000  0.3172 (multiplicity 4)
Ni  0.0000  0.5000  0.0000 (multiplicity 2)
Ir  0.0000  0.0000  0.5000 (multiplicity 2)

# 6
First-principles (PBE) data for Tm2Hg3 after structural relaxation, as listed in Alexandria.

ρ   12.7 g cm⁻³
VASP energy   -34.9 eV/cell
Energy relative to the elements   -359 meV per atom

Cell lengths 4.9239, 4.9239, 17.5422 Å; angles 90.00, 90.00, 120.00 degrees
Space group R-3m (No. 166, hexagonal axes)
Inequivalent atoms, fractional coordinates:
Tm  0.0000  0.0000  0.0985 (multiplicity 6)
Hg  0.0000  0.0000  0.3005 (multiplicity 6)
Hg  0.0000  0.0000  0.5000 (multiplicity 3)

# 7
First-principles (PBE) data for Sm5IrPb2 after structural relaxation, as listed in Alexandria.

ρ   9.4 g cm⁻³
VASP energy   -89.2 eV/cell
Energy relative to the elements   -589 meV per atom

Cell lengths 8.2263, 12.5259, 4.6525 Å; angles 90.00, 90.00, 90.00 degrees
Space group Pbam (No. 55)
Inequivalent atoms, fractional coordinates:
Sm  0.0000  0.0000  0.0000 (multiplicity 2)
Sm  0.1372  0.2994  0.0000 (multiplicity 4)
Sm  0.1854  0.5662  0.5000 (multiplicity 4)
Ir  0.0000  0.5000  0.0000 (multiplicity 2)
Pb  0.0759  0.8274  0.5000 (multiplicity 4)

# 8
First-principles (PBE) data for Tb3Al4Cd2 after structural relaxation, as listed in Alexandria.

ρ   6.6 g cm⁻³
VASP energy   -68.9 eV/cell
Energy relative to the elements   -417 meV per atom

Cell lengths 10.8333, 4.6619, 8.8392 Å; angles 90.00, 114.95, 90.00 degrees
Space group C2/m (No. 12)
Inequivalent atoms, fractional coordinates:
Tb  0.0000  0.0000  0.0000 (multiplicity 2)
Tb  0.1651  0.5000  0.6691 (multiplicity 4)
Al  0.0474  0.0000  0.3847 (multiplicity 4)
Al  0.2330  0.5000  0.0620 (multiplicity 4)
Cd  0.1150  0.5000  0.2806 (multiplicity 4)

# 9
First-principles (PBE) data for Sm3Ho5Er after structural relaxation, as listed in Alexandria.

ρ   8.2 g cm⁻³
VASP energy   -160.5 eV/cell
Energy relative to the elements   166 meV per atom

Cell lengths 16.4004, 6.6886, 11.3412 Å; angles 90.00, 109.31, 90.00 degrees
Space group C2/c (No. 15)
Inequivalent atoms, fractional coordinates:
Sm  0.0000  0.0000  0.0000 (multiplicity 4)
Sm  0.2369  0.3744  0.3544 (multiplicity 8)
Ho  0.0000  0.3186  0.7500 (multiplicity 4)
Ho  0.1071  0.4957  0.5449 (multiplicity 8)
Ho  0.1758  0.1206  0.8733 (multiplicity 8)
Er  0.0000  0.2266  0.2500 (multiplicity 4)

# 10
First-principles (PBE) data for MnAl4Tc after structural relaxation, as listed in Alexandria.

ρ   4.8 g cm⁻³
VASP energy   -137.0 eV/cell
Energy relative to the elements   44 meV per atom

Cell lengths 7.1064, 7.1064, 7.1064 Å; angles 90.00, 90.00, 90.00 degrees
Space group F-43m (No. 216)
Inequivalent atoms, fractional coordinates:
Mn  0.0000  0.0000  0.0000 (multiplicity 4)
Al  0.1252  0.1252  0.3748 (multiplicity 16)
Tc  0.2500  0.2500  0.7500 (multiplicity 4)

# 11
First-principles (PBE) data for YAs2CS after structural relaxation, as listed in Alexandria.

ρ   5.3 g cm⁻³
VASP energy   -27.5 eV/cell
E_form (uncorrected)   326 meV per atom

Cell lengths 4.3163, 4.3163, 4.7487 Å; angles 90.00, 90.00, 90.00 degrees
Space group P4/mmm (No. 123)
Inequivalent atoms, fractional coordinates:
Y  0.0000  0.0000  0.0000 (multiplicity 1)
As  0.0000  0.5000  0.5000 (multiplicity 2)
C  0.5000  0.5000  0.5000 (multiplicity 1)
S  0.5000  0.5000  0.0000 (multiplicity 1)

Calculated total magnetic moment, 0.000; 0.000; 0.000; 0.000; 0.000; 0.000; 0.000; 0.000; 0.000; 0.687; 0.000 μB/atom (same order as the records).